Entry 1:
A plane-wave DFT calculation with PBE-GGA was carried out for an optimized crystal structure of BaScUO6.

Output
total magnetic moment: 0.97 μB per formula unit
symmetry: P312
DOS at the Fermi energy: 0.748 states/eV per atom
E_form (uncorrected): -2990 meV/atom

```
BaScUO6
1.0
5.6685 -0.0003 -0.0003
2.8341 4.9086 -0.0004
0.0007 0.0009 5.6436
Ba Sc U O
1 1 1 6
Direct
0.0000 0.0000 0.0000
0.6667 0.6667 0.5000
0.3333 0.3334 0.5000
0.0076 0.3753 0.3022
0.3752 0.0076 0.6977
0.6171 0.3752 0.6978
0.0076 0.6171 0.6978
0.3752 0.6172 0.3022
0.6171 0.0077 0.3022
```

***

Entry 2:
A plane-wave DFT calculation with PBE-GGA was carried out for an optimized crystal structure of PmNdGaIr.

Output
relative energy among the computed polymorphs: 0.000 eV per atom
E_form: -647 meV/atom
total magnetic moment: 0.00 μB per formula unit
symmetry: Amm2
DOS at the Fermi energy: 1.003 states/eV per atom

```
PmNdGaIr
1.0
-3.3559 -0.0334 -2.5820
-1.2169 -3.7589 1.6304
-1.2543 2.6045 5.0686
Pm Nd Ga Ir
1 1 1 1
Direct
0.8622 0.5000 0.7244
0.1439 0.0000 0.2878
0.5665 0.5000 0.1330
0.4274 0.0000 0.8549
```

***

Entry 3:
A plane-wave DFT calculation with PBE-GGA was carried out for an optimized crystal structure of ReMoOs.

Output
relative energy among the computed polymorphs: 0.000 eV per atom
E_form: 42 meV/atom
total magnetic moment: 0.00 μB per formula unit
symmetry: P2/m
DOS at the Fermi energy: 0.844 states/eV per atom

```
ReMoOs
1.0
4.4302 -1.1951 1.4745
0.6262 2.6944 0.3026
0.8026 -1.0107 7.3506
Re Mo Os
2 2 2
Direct
0.1431 0.1752 0.8148
0.6431 0.6752 0.8148
0.0856 0.6752 0.1481
0.2006 0.6752 0.4815
0.5846 0.1752 0.1471
0.7016 0.1752 0.4825
```

***

Entry 4:
A plane-wave DFT calculation with PBE-GGA was carried out for an optimized crystal structure of NdAl3Pd10.

Output
E_form: -626 meV/atom
total magnetic moment: 0.00 μB per formula unit
symmetry: Fm-3m
DOS at the Fermi energy: 0.273 states/eV per atom

```
NdAl3Pd10
1.0
7.6163 0.0000 4.3973
2.5388 7.1807 4.3973
0.0000 0.0000 8.7945
Nd Al Pd
2 6 20
Direct
0.2500 0.2500 0.2500
0.7500 0.7500 0.7500
0.7303 0.7303 0.2697
0.7303 0.2697 0.7303
0.2697 0.7303 0.7303
0.2697 0.2697 0.7303
0.7303 0.2697 0.2697
0.2697 0.7303 0.2697
0.0000 0.0000 0.3436
0.0000 0.3436 0.0000
0.3436 0.0000 0.0000
0.6564 0.3436 0.0000
0.3821 0.3821 0.3821
0.1464 0.6179 0.6179
0.3821 0.8536 0.3821
0.6564 0.0000 0.3436
0.3821 0.3821 0.8536
0.8536 0.3821 0.3821
0.6179 0.6179 0.1464
0.0000 0.0000 0.6564
0.3436 0.6564 0.0000
0.0000 0.6564 0.3436
0.0000 0.3436 0.6564
0.6564 0.0000 0.0000
0.6179 0.6179 0.6179
0.0000 0.6564 0.0000
0.6179 0.1464 0.6179
0.3436 0.0000 0.6564
```

***

Entry 5:
A plane-wave DFT calculation with PBE-GGA was carried out for an optimized crystal structure of Nd2Ho6Tm3.

Output
relative energy among the computed polymorphs: 0.094 eV per atom
E_form: 278 meV/atom
total magnetic moment: 0.00 μB per formula unit
symmetry: I4/mmm
DOS at the Fermi energy: 1.442 states/eV per atom

```
Nd2Ho6Tm3
1.0
4.7102 0.0000 0.0000
0.0000 4.7102 0.0000
-2.3551 -2.3551 16.5331
Nd Ho Tm
2 6 3
Direct
0.4537 0.4537 0.9074
0.5463 0.5463 0.0926
0.1228 0.6228 0.2456
0.6228 0.1228 0.2456
0.8772 0.3772 0.7544
0.3772 0.8772 0.7544
0.6964 0.6964 0.3929
0.3036 0.3036 0.6071
0.0000 0.0000 0.0000
0.7992 0.7992 0.5984
0.2008 0.2008 0.4016
```

***

Entry 6:
A plane-wave DFT calculation with PBE-GGA was carried out for an optimized crystal structure of ScBe2Ni.

Output
relative energy among the computed polymorphs: 0.104 eV per atom
E_form: -179 meV/atom
total magnetic moment: 0.00 μB per formula unit
symmetry: P4/mmm
DOS at the Fermi energy: 0.878 states/eV per atom

```
ScBe2Ni
1.0
2.8489 0.0000 0.0000
0.0000 2.8448 0.0000
0.0000 0.0000 5.9953
Sc Ni Be
1 1 2
Direct
0.5000 0.5000 0.7500
0.5000 0.5000 0.2500
0.0000 0.0000 0.0669
0.0000 0.0000 0.4332
```

***

Entry 7:
A plane-wave DFT calculation with PBE-GGA was carried out for an optimized crystal structure of NbV2HAu.

Output
relative energy among the computed polymorphs: 0.000 eV per atom
total magnetic moment: 1.41 μB per formula unit
symmetry: P4/mmm
DOS at the Fermi energy: 1.010 states/eV per atom

```
NbV2HAu
1.0
4.0158 0.0000 0.0000
0.0000 4.0158 0.0000
0.0000 0.0000 4.0233
H Nb Au V
1 1 1 2
Direct
0.0000 0.0000 0.0000
0.0000 0.0000 0.5000
0.5000 0.5000 0.5000
0.0000 0.5000 0.0000
0.5000 0.0000 0.0000
```

***

Entry 8:
A plane-wave DFT calculation with PBE-GGA was carried out for an optimized crystal structure of NiGeTe2.

Output
relative energy among the computed polymorphs: 0.145 eV per atom
total magnetic moment: 0.00 μB per formula unit
symmetry: R-3m
DOS at the Fermi energy: 0.712 states/eV per atom
E_form (uncorrected): 141 meV/atom

```
NiGeTe2
1.0
2.1327 0.0000 8.6971
-1.0663 1.8470 8.6971
-1.0663 -1.8470 8.6971
Ni Ge Te
1 1 2
Direct
0.5000 0.5000 0.5000
0.0000 0.0000 0.0000
0.8878 0.8878 0.8878
0.1122 0.1122 0.1122
```

***

Entry 9:
A plane-wave DFT calculation with PBE-GGA was carried out for an optimized crystal structure of MgPHS2.

Output
relative energy among the computed polymorphs: 0.000 eV per atom
total magnetic moment: 0.00 μB per formula unit
symmetry: P4/mmm
DOS at the Fermi energy: 0.207 states/eV per atom

```
MgPHS2
1.0
-1.1841 -1.5105 -4.3245
-1.0196 -4.2677 1.7698
-2.9955 0.9222 0.4981
P S Mg H
1 2 1 1
Direct
0.0000 0.0000 0.5000
0.0000 0.5000 0.0000
0.5000 0.0000 0.0000
0.5000 0.5000 0.5000
0.0000 0.0000 0.0000
```

***

Entry 10:
A plane-wave DFT calculation with PBE-GGA was carried out for an optimized crystal structure of SeBr3.

Output
total magnetic moment: 0.32 μB per formula unit
symmetry: Cmmm
DOS at the Fermi energy: 0.762 states/eV per atom
E_form (uncorrected): 168 meV/atom

```
SeBr3
1.0
4.1606 0.0099 0.0000
-2.6890 3.1749 0.0000
0.0000 0.0000 10.0790
Br Se
3 1
Direct
0.0000 0.0000 0.0606
0.5000 0.5000 0.7500
0.0000 0.0000 0.4394
0.5000 0.5000 0.2500
```

***

Entry 11:
A plane-wave DFT calculation with PBE-GGA was carried out for an optimized crystal structure of ZrCd3N.

Output
relative energy among the computed polymorphs: 1.339 eV per atom
total magnetic moment: 0.00 μB per formula unit
symmetry: Pm-3m
DOS at the Fermi energy: 1.851 states/eV per atom
E_form (uncorrected): 2046 meV/atom

```
ZrCd3N
1.0
5.6492 0.0000 0.0000
0.0000 5.6492 0.0000
0.0000 0.0000 5.6492
N Zr Cd
1 1 3
Direct
0.5000 0.5000 0.5000
0.0000 0.0000 0.0000
0.0000 0.5000 0.0000
0.0000 0.0000 0.5000
0.5000 0.0000 0.0000
```